1.
Computed, not measured: a relaxed Cs4LaGa2 crystal at the PBE-GGA level of DFT.

Cell: 6.9996 6.9996 17.4837 Å, 90.00 90.00 90.00°
Space group I4/mmm (No. 139)
Symmetry-distinct sites (fractional):
Cs  0.0000  0.0000  0.2191 [4 per cell]
Cs  0.0000  0.5000  0.0000 [4 per cell]
La  0.0000  0.0000  0.0000 [2 per cell]
Ga  0.0000  0.0000  0.4266 [4 per cell]

Summary:
Energy of formation ... 0.612 eV/atom
N(E_F) ... 10.18 states/eV/f.u.



2.
Computed, not measured: a relaxed SiHg3W crystal at the PBE-GGA level of DFT.

Cell: 5.2588 5.2588 5.2588 Å, 90.00 90.00 90.00°
Space group Pm-3m (No. 221)
Symmetry-distinct sites (fractional):
Si  0.0000  0.0000  0.0000 [1 per cell]
Hg  0.0000  0.5000  0.5000 [3 per cell]
W  0.5000  0.5000  0.5000 [1 per cell]

Summary:
N(E_F) ... 2.39 states/eV/f.u.
Offset from the most stable computed form ... 0.00 eV per formula unit
Formation energy (no corrections) ... 689 kJ/mol of formula units



3.
Computed, not measured: a relaxed Ac4SnPd crystal at the PBE-GGA level of DFT.

Cell: 7.6452 7.6453 7.9896 Å, 90.00 90.11 90.00°
Space group C2/m (No. 12)
Symmetry-distinct sites (fractional):
Ac  0.2496  0.2498  0.2339 [8 per cell]
Sn  0.0000  0.0000  0.5000 [2 per cell]
Pd  0.0000  0.5000  0.0000 [2 per cell]

Summary:
Energy of formation ... -0.354 eV/atom
N(E_F) ... 7.90 states/eV/f.u.



4.
Computed, not measured: a relaxed CdTe crystal at the PBE-GGA level of DFT.

Cell: 8.0631 8.0631 4.6904 Å, 90.00 90.00 90.00°
Space group P4_2/mnm (No. 136)
Symmetry-distinct sites (fractional):
Cd  0.1754  0.1754  0.0000 [4 per cell]
Te  0.1839  0.8161  0.0000 [4 per cell]

Summary:
Formation energy (no corrections) ... -82 kJ/mol of formula units



Number 1: calculated total energy -1.44 eV per atom. Number 2: calculated total energy -2.43 eV per atom. Number 3: calculated total energy -4.63 eV per atom. Number 4: calculated total energy -2.45 eV per atom.